The following is a SCAN calculation of Mn2ReTc at its PBEsol-relaxed geometry, from the Alexandria database.

* formation energy from the elements: -0.20 eV per formula unit
* SG: No. 47

a = 3.1206 Å, b = 4.0142 Å, c = 4.1098 Å
α = 90.00°, β = 90.00°, γ = 90.00°
Fractional coordinates of all 4 atoms:
Mn  0.0000  0.0000  0.0000
Mn  0.5000  0.0000  0.5000
Re  0.0000  0.5000  0.5000
Tc  0.5000  0.5000  0.0000

***

The following is a SCAN calculation of TlPO2F at its PBEsol-relaxed geometry, from the Alexandria database.

* SG: No. 123

a = 4.2406 Å, b = 4.2406 Å, c = 4.2707 Å
α = 90.00°, β = 90.00°, γ = 90.00°
Fractional coordinates of all 5 atoms:
Tl  0.0000  0.0000  0.0000
P  0.5000  0.5000  0.5000
O  0.0000  0.5000  0.0000
O  0.5000  0.0000  0.0000
F  0.0000  0.0000  0.5000

***

The following is a SCAN calculation of LiZnSe2 at its PBEsol-relaxed geometry, from the Alexandria database.

* SG: No. 139

a = 4.7393 Å, b = 4.7393 Å, c = 4.7393 Å
α = 123.49°, β = 123.49°, γ = 84.06°
Fractional coordinates of all 4 atoms:
Li  0.0000  0.0000  0.0000
Zn  0.5000  0.5000  0.0000
Se  0.2500  0.7500  0.5000
Se  0.7500  0.2500  0.5000

***

The following is a SCAN calculation of Pm3Pr at its PBEsol-relaxed geometry, from the Alexandria database.

* formation energy from the elements: 0.05 eV per formula unit
* SG: No. 139
* polymorph energy (0 for the lowest one): 0.00 eV per formula unit

a = 6.2060 Å, b = 6.2060 Å, c = 6.2060 Å
α = 131.78°, β = 131.78°, γ = 70.57°
Fractional coordinates of all 4 atoms:
Pm  0.0000  0.0000  0.0000
Pm  0.2500  0.7500  0.5000
Pm  0.7500  0.2500  0.5000
Pr  0.5000  0.5000  0.0000

***

The following is a SCAN calculation of Sb8Cl2O11 at its PBEsol-relaxed geometry, from the Alexandria database.

* SG: No. 14
* polymorph energy (0 for the lowest one): 0.20 eV per formula unit

a = 10.9249 Å, b = 4.1013 Å, c = 17.7257 Å
α = 90.00°, β = 98.99°, γ = 90.00°
Fractional coordinates of all 42 atoms:
Sb  0.0501  0.1727  0.4274
Sb  0.0501  0.3273  0.9274
Sb  0.1337  0.0210  0.7620
Sb  0.1337  0.4790  0.2620
Sb  0.3092  0.6723  0.5248
Sb  0.3092  0.8277  0.0248
Sb  0.3555  0.5411  0.7229
Sb  0.3555  0.9589  0.2229
Sb  0.6445  0.0411  0.7771
Sb  0.6445  0.4589  0.2771
Sb  0.6908  0.1723  0.9752
Sb  0.6908  0.3277  0.4752
Sb  0.8663  0.5210  0.7380
Sb  0.8663  0.9790  0.2380
Sb  0.9499  0.6727  0.0726
Sb  0.9499  0.8273  0.5726
Cl  0.4813  0.0362  0.5971
Cl  0.4813  0.4638  0.0971
Cl  0.5187  0.5362  0.9029
Cl  0.5187  0.9638  0.4029
O  0.0000  0.0000  0.0000
O  0.0000  0.5000  0.5000
O  0.1401  0.5065  0.3751
O  0.1401  0.9935  0.8751
O  0.1963  0.5322  0.7713
O  0.1963  0.9678  0.2713
O  0.2038  0.0725  0.5001
O  0.2038  0.4275  0.0001
O  0.2476  0.5855  0.6214
O  0.2476  0.9145  0.1214
O  0.3090  0.0377  0.7436
O  0.3090  0.4623  0.2436
O  0.6910  0.5377  0.7564
O  0.6910  0.9623  0.2564
O  0.7524  0.0855  0.8786
O  0.7524  0.4145  0.3786
O  0.7962  0.5725  0.9999
O  0.7962  0.9275  0.4999
O  0.8037  0.0322  0.7287
O  0.8037  0.4678  0.2287
O  0.8599  0.0065  0.1249
O  0.8599  0.4935  0.6249

***

The following is a SCAN calculation of CoHgMo2 at its PBEsol-relaxed geometry, from the Alexandria database.

* formation energy from the elements: 1.41 eV per formula unit
* SG: No. 71

a = 5.0432 Å, b = 5.0432 Å, c = 5.0432 Å
α = 139.42°, β = 134.17°, γ = 62.85°
Fractional coordinates of all 4 atoms:
Co  0.0000  0.0000  0.0000
Hg  0.5000  0.5000  0.0000
Mo  0.2429  0.7429  0.5000
Mo  0.7571  0.2571  0.5000

***

The following is a SCAN calculation of Sc2MoH at its PBEsol-relaxed geometry, from the Alexandria database.

* SG: No. 225

a = 4.4818 Å, b = 4.4818 Å, c = 4.4818 Å
α = 60.00°, β = 60.00°, γ = 60.00°
Fractional coordinates of all 4 atoms:
Sc  0.2500  0.2500  0.2500
Sc  0.7500  0.7500  0.7500
Mo  0.0000  0.0000  0.0000
H  0.5000  0.5000  0.5000

***

The following is a SCAN calculation of CdTc2PtPb at its PBEsol-relaxed geometry, from the Alexandria database.

* formation energy from the elements: 10.89 eV per formula unit
* SG: No. 123

a = 4.9765 Å, b = 4.9765 Å, c = 5.0643 Å
α = 90.00°, β = 90.00°, γ = 90.00°
Fractional coordinates of all 5 atoms:
Cd  0.0000  0.0000  0.0000
Tc  0.0000  0.5000  0.5000
Tc  0.5000  0.0000  0.5000
Pt  0.5000  0.5000  0.0000
Pb  0.0000  0.0000  0.5000

***

The following is a SCAN calculation of ScRuPb2 at its PBEsol-relaxed geometry, from the Alexandria database.

* formation energy from the elements: 0.66 eV per formula unit
* SG: No. 216
* polymorph energy (0 for the lowest one): 0.51 eV per formula unit

a = 4.9199 Å, b = 4.9199 Å, c = 4.9199 Å
α = 60.00°, β = 60.00°, γ = 60.00°
Fractional coordinates of all 4 atoms:
Sc  0.0000  0.0000  0.0000
Ru  0.7500  0.7500  0.7500
Pb  0.2500  0.2500  0.2500
Pb  0.5000  0.5000  0.5000

***

The following is a SCAN calculation of MnCrCu at its PBEsol-relaxed geometry, from the Alexandria database.

* formation energy from the elements: 0.78 eV per formula unit
* SG: No. 42
* polymorph energy (0 for the lowest one): 0.00 eV per formula unit

a = 6.4219 Å, b = 6.2789 Å, c = 2.3838 Å
α = 82.58°, β = 75.82°, γ = 21.60°
Fractional coordinates of all 3 atoms:
Mn  0.0000  0.0000  0.0000
Cr  0.6559  0.6559  0.3441
Cu  0.3289  0.3289  0.6711

***

The following is a SCAN calculation of Tl2NiW at its PBEsol-relaxed geometry, from the Alexandria database.

* formation energy from the elements: 2.45 eV per formula unit
* SG: No. 99
* polymorph energy (0 for the lowest one): 0.13 eV per formula unit

a = 2.9574 Å, b = 2.9574 Å, c = 8.6313 Å
α = 90.00°, β = 90.00°, γ = 90.00°
Fractional coordinates of all 4 atoms:
Tl  0.0000  0.0000  0.0000
Tl  0.5000  0.5000  0.3370
Ni  0.5000  0.5000  0.7621
W  0.0000  0.0000  0.5981

***

The following is a SCAN calculation of SrSc2Ni at its PBEsol-relaxed geometry, from the Alexandria database.

* formation energy from the elements: 1.84 eV per formula unit
* SG: No. 139
* polymorph energy (0 for the lowest one): 0.28 eV per formula unit

a = 5.9618 Å, b = 5.9618 Å, c = 5.9618 Å
α = 138.76°, β = 138.76°, γ = 59.74°
Fractional coordinates of all 4 atoms:
Sr  0.0000  0.0000  0.0000
Sc  0.2500  0.7500  0.5000
Sc  0.7500  0.2500  0.5000
Ni  0.5000  0.5000  0.0000

***

The following is a SCAN calculation of HgIrSe2 at its PBEsol-relaxed geometry, from the Alexandria database.

* SG: No. 47

a = 3.2633 Å, b = 4.5976 Å, c = 4.7879 Å
α = 90.00°, β = 90.00°, γ = 90.00°
Fractional coordinates of all 4 atoms:
Hg  0.0000  0.0000  0.0000
Ir  0.5000  0.5000  0.0000
Se  0.0000  0.5000  0.5000
Se  0.5000  0.0000  0.5000

***

The following is a SCAN calculation of Zr2BeBr at its PBEsol-relaxed geometry, from the Alexandria database.

* SG: No. 47
* polymorph energy (0 for the lowest one): 1.39 eV per formula unit

a = 3.4819 Å, b = 4.2183 Å, c = 4.9919 Å
α = 90.00°, β = 90.00°, γ = 90.00°
Fractional coordinates of all 4 atoms:
Zr  0.0000  0.0000  0.0000
Zr  0.5000  0.0000  0.5000
Be  0.0000  0.5000  0.5000
Br  0.5000  0.5000  0.0000

***

The following is a SCAN calculation of YMo2Pt at its PBEsol-relaxed geometry, from the Alexandria database.

* formation energy from the elements: 0.24 eV per formula unit
* SG: No. 8
* polymorph energy (0 for the lowest one): 0.57 eV per formula unit

a = 4.9610 Å, b = 4.9610 Å, c = 5.3071 Å
α = 96.62°, β = 96.62°, γ = 32.61°
Fractional coordinates of all 4 atoms:
Y  0.0000  0.0000  0.0000
Mo  0.5364  0.5364  0.4991
Mo  0.7733  0.7733  0.3214
Pt  0.2522  0.2522  0.7882

***

The following is a SCAN calculation of CsMgPO4 at its PBEsol-relaxed geometry, from the Alexandria database.

* SG: No. 62

a = 8.8151 Å, b = 5.5423 Å, c = 9.7853 Å
α = 90.00°, β = 90.00°, γ = 90.00°
Fractional coordinates of all 28 atoms:
Cs  0.0043  0.2500  0.1998
Cs  0.4957  0.7500  0.6998
Cs  0.5043  0.2500  0.3002
Cs  0.9957  0.7500  0.8002
Mg  0.1772  0.7500  0.4156
Mg  0.3228  0.2500  0.9156
Mg  0.6772  0.7500  0.0844
Mg  0.8228  0.2500  0.5844
P  0.2130  0.2500  0.5780
P  0.2870  0.7500  0.0780
P  0.7130  0.2500  0.9220
P  0.7870  0.7500  0.4220
O  0.0390  0.2500  0.5784
O  0.2252  0.7500  0.2250
O  0.2263  0.5236  0.0026
O  0.2263  0.9764  0.0026
O  0.2737  0.0236  0.5026
O  0.2737  0.4764  0.5026
O  0.2748  0.2500  0.7250
O  0.4610  0.7500  0.0784
O  0.5390  0.2500  0.9216
O  0.7252  0.7500  0.2750
O  0.7263  0.5236  0.4974
O  0.7263  0.9764  0.4974
O  0.7737  0.0236  0.9974
O  0.7737  0.4764  0.9974
O  0.7748  0.2500  0.7750
O  0.9610  0.7500  0.4216

***

The following is a SCAN calculation of Sc3ZnW at its PBEsol-relaxed geometry, from the Alexandria database.

* formation energy from the elements: 3.30 eV per formula unit
* SG: No. 221

a = 4.9999 Å, b = 4.9999 Å, c = 4.9999 Å
α = 90.00°, β = 90.00°, γ = 90.00°
Fractional coordinates of all 5 atoms:
Sc  0.0000  0.0000  0.5000
Sc  0.0000  0.5000  0.0000
Sc  0.5000  0.0000  0.0000
Zn  0.5000  0.5000  0.5000
W  0.0000  0.0000  0.0000

***

The following is a SCAN calculation of ZnP2IO at its PBEsol-relaxed geometry, from the Alexandria database.

* SG: No. 123

a = 4.8219 Å, b = 4.8219 Å, c = 3.7214 Å
α = 90.00°, β = 90.00°, γ = 90.00°
Fractional coordinates of all 5 atoms:
Zn  0.0000  0.0000  0.0000
P  0.0000  0.5000  0.0000
P  0.5000  0.0000  0.0000
I  0.5000  0.5000  0.5000
O  0.0000  0.0000  0.5000

***

The following is a SCAN calculation of CsTl2Hg2 at its PBEsol-relaxed geometry, from the Alexandria database.

* formation energy from the elements: -0.64 eV per formula unit
* SG: No. 127
* polymorph energy (0 for the lowest one): 0.36 eV per formula unit

a = 9.3662 Å, b = 9.3662 Å, c = 3.4855 Å
α = 90.00°, β = 90.00°, γ = 90.00°
Fractional coordinates of all 10 atoms:
Cs  0.0000  0.0000  0.0000
Cs  0.5000  0.5000  0.0000
Tl  0.1300  0.3700  0.0000
Tl  0.3700  0.8700  0.0000
Tl  0.6300  0.1300  0.0000
Tl  0.8700  0.6300  0.0000
Hg  0.1609  0.6609  0.5000
Hg  0.3391  0.1609  0.5000
Hg  0.6609  0.8391  0.5000
Hg  0.8391  0.3391  0.5000

***

The following is a SCAN calculation of CdPBrO2 at its PBEsol-relaxed geometry, from the Alexandria database.

* SG: No. 123

a = 4.0084 Å, b = 4.0084 Å, c = 5.6251 Å
α = 90.00°, β = 90.00°, γ = 90.00°
Fractional coordinates of all 5 atoms:
Cd  0.0000  0.0000  0.0000
P  0.0000  0.0000  0.5000
Br  0.5000  0.5000  0.5000
O  0.0000  0.5000  0.0000
O  0.5000  0.0000  0.0000

***

The following is a SCAN calculation of ScRePb3 at its PBEsol-relaxed geometry, from the Alexandria database.

* formation energy from the elements: 3.85 eV per formula unit
* SG: No. 221

a = 5.2528 Å, b = 5.2528 Å, c = 5.2528 Å
α = 90.00°, β = 90.00°, γ = 90.00°
Fractional coordinates of all 5 atoms:
Sc  0.0000  0.0000  0.0000
Re  0.5000  0.5000  0.5000
Pb  0.0000  0.5000  0.5000
Pb  0.5000  0.0000  0.5000
Pb  0.5000  0.5000  0.0000

***

The following is a SCAN calculation of MgZr2Si at its PBEsol-relaxed geometry, from the Alexandria database.

* SG: No. 99

a = 3.6458 Å, b = 3.6458 Å, c = 5.9833 Å
α = 90.00°, β = 90.00°, γ = 90.00°
Fractional coordinates of all 4 atoms:
Mg  0.0000  0.0000  0.0000
Zr  0.0000  0.0000  0.4745
Zr  0.5000  0.5000  0.7292
Si  0.5000  0.5000  0.2591

***

The following is a SCAN calculation of CaCoP2 at its PBEsol-relaxed geometry, from the Alexandria database.

* formation energy from the elements: -0.07 eV per formula unit
* SG: No. 119

a = 5.0339 Å, b = 5.0339 Å, c = 5.0339 Å
α = 136.31°, β = 136.31°, γ = 63.51°
Fractional coordinates of all 4 atoms:
Ca  0.0000  0.0000  0.0000
Co  0.7500  0.2500  0.5000
P  0.2500  0.7500  0.5000
P  0.5000  0.5000  0.0000

***

The following is a SCAN calculation of Ni2HgRh at its PBEsol-relaxed geometry, from the Alexandria database.

* formation energy from the elements: 1.22 eV per formula unit
* SG: No. 160

a = 8.5601 Å, b = 8.5601 Å, c = 8.5601 Å
α = 18.48°, β = 18.48°, γ = 18.48°
Fractional coordinates of all 4 atoms:
Ni  0.0000  0.0000  0.0000
Ni  0.2611  0.2611  0.2611
Hg  0.7548  0.7548  0.7548
Rh  0.5167  0.5167  0.5167

***

The following is a SCAN calculation of Ti5CuSb2 at its PBEsol-relaxed geometry, from the Alexandria database.

* SG: No. 140

a = 7.7383 Å, b = 7.7383 Å, c = 7.7383 Å
α = 96.10°, β = 96.10°, γ = 141.96°
Fractional coordinates of all 16 atoms:
Ti  0.0740  0.7864  0.8604
Ti  0.2136  0.0740  0.2875
Ti  0.2500  0.7500  0.5000
Ti  0.2864  0.5740  0.8604
Ti  0.4260  0.2864  0.7125
Ti  0.5740  0.7136  0.2875
Ti  0.7136  0.4260  0.1396
Ti  0.7500  0.2500  0.5000
Ti  0.7864  0.9260  0.7125
Ti  0.9260  0.2136  0.1396
Cu  0.2500  0.2500  0.0000
Cu  0.7500  0.7500  0.0000
Sb  0.1642  0.3358  0.5000
Sb  0.3358  0.8358  0.1716
Sb  0.6642  0.1642  0.8284
Sb  0.8358  0.6642  0.5000

***

no.,VASP energy (eV/cell),M_tot (μB/f.u.)
1,-142.869,3.37
2,-97.774,1.14
3,-57.194,0.00
4,-175.237,0.00
5,-818.644,0.00
6,-153.827,2.02
7,-64.299,0.00
8,-235.616,6.26
9,-199.964,0.00
10,-51.062,0.00
11,-228.129,0.00
12,-65.082,1.95
13,-176.001,0.00
14,-84.422,0.00
15,-167.569,0.00
16,-390.460,0.00
17,-122.610,0.00
18,-74.256,0.00
19,-639.004,0.00
20,-69.948,2.60
21,-308.826,0.00
22,-76.709,0.00
23,-47.834,1.43
24,-133.066,1.72
25,-347.254,0.00